Entry 1:
This record from Alexandria describes a relaxed Ca8Ga2Au crystal. The functional is PBE-GGA.

The structure belongs to space group C2/m (No. 12); the cell edges are 18.721, 5.251 and 7.262 Å and the angles 90.00°, 107.83° and 90.00°. The inequivalent atoms are Ca at (0.030, 0.000, 0.292), Ca at (0.096, 0.500, 0.943), Ca at (0.164, 0.500, 0.461), Ca at (0.206, 0.000, 0.810), Ga at (0.183, 0.000, 0.209) and Au at (0.000, 0.500, 0.500).

The total moment is 0.00 Bohr magnetons per cell. The calculation puts the excess energy over the best structure of this formula in the dataset at 0 kJ/mol of formula units. The formation enthalpy at 0 K is -3.89 eV/f.u.

=====

Entry 2:
This record from Alexandria describes a relaxed Pr7NdEr12 crystal. The functional is PBE-GGA.

The structure belongs to space group R-3 (No. 148, hexagonal axes); the cell edges are 12.0117, 12.0117 and 16.2636 Å and the angles 90.00°, 90.00° and 120.00°. The inequivalent atoms are Pr at (0.0000, 0.0000, 0.0000), Pr at (0.0522, 0.8648, 0.2894), Nd at (0.0000, 0.0000, 0.5000), Er at (0.0209, 0.5750, 0.2209) and Er at (0.0508, 0.4638, 0.5833).

The total moment is 0.00 Bohr magnetons per cell. The calculation puts the excess energy over the best structure of this formula in the dataset at 0 kJ/mol of formula units. The formation enthalpy at 0 K is 4.55 eV/f.u.

=====

Entry 3:
This record from Alexandria describes a relaxed MnBi4S7 crystal. The functional is PBE-GGA.

The structure belongs to space group Cm (No. 8); the cell edges are 12.991, 3.989 and 12.147 Å and the angles 90.00°, 105.28° and 90.00°. The inequivalent atoms are Mn at (0.000, 0.000, 0.000), Bi at (0.108, 0.000, 0.424), Bi at (0.251, 0.000, 0.861), Bi at (0.263, 0.500, 0.170), Bi at (0.418, 0.000, 0.579), S at (0.072, 0.000, 0.637), S at (0.127, 0.000, 0.193), S at (0.129, 0.500, 0.961), S at (0.268, 0.500, 0.464), S at (0.376, 0.500, 0.808), S at (0.388, 0.000, 0.066) and S at (0.451, 0.000, 0.372).

The total moment is 10.00 Bohr magnetons per cell. For the formation energy without anion corrections, the calculation gives -0.37 eV/atom. The calculation puts the excess energy over the best structure of this formula in the dataset at 11 kJ/mol of formula units.

=====

Entry 4:
This record from Alexandria describes a relaxed CeSmGeSe crystal. The functional is PBE-GGA.

The structure belongs to space group R3m (No. 160, hexagonal axes); the cell edges are 4.2298, 4.2298 and 20.7053 Å and the angles 90.00°, 90.00° and 120.00°. The inequivalent atoms are Ce at (0.0000, 0.0000, 0.0000), Sm at (0.0000, 0.0000, 0.5052), Ge at (0.0000, 0.0000, 0.2539) and Se at (0.0000, 0.0000, 0.7528).

The total moment is 1.81 Bohr magnetons per cell. For the formation energy without anion corrections, the calculation gives -1.35 eV/atom.

=====

Entry 5:
This record from Alexandria describes a relaxed PrNdSm4 crystal. The functional is PBE-GGA.

The structure belongs to space group C2/m (No. 12); the cell edges are 6.330, 10.959 and 6.325 Å and the angles 90.00°, 109.49° and 90.00°. The inequivalent atoms are Pr at (0.000, 0.000, 0.000), Nd at (0.000, 0.500, 0.500), Sm at (0.000, 0.167, 0.500) and Sm at (0.000, 0.333, 0.000).

The total moment is 0.00 Bohr magnetons per cell. The calculation puts the excess energy over the best structure of this formula in the dataset at 0 kJ/mol of formula units. The formation enthalpy at 0 K is 0.08 eV/f.u.

=====

Entry 6:
This record from Alexandria describes a relaxed IrRuBr crystal. The functional is PBE-GGA.

The structure belongs to space group Fmm2 (No. 42); the cell edges are 2.813, 5.046 and 14.281 Å and the angles 90.00°, 90.00° and 90.00°. The inequivalent atoms are Ir at (0.000, 0.000, 0.000), Ru at (0.000, 0.000, 0.651) and Br at (0.000, 0.000, 0.309).

The total moment is 0.00 Bohr magnetons per cell. For the formation energy without anion corrections, the calculation gives 0.88 eV/atom. The calculation puts the excess energy over the best structure of this formula in the dataset at 42 kJ/mol of formula units.

=====

Entry 7:
This record from Alexandria describes a relaxed CoGe2Te crystal. The functional is PBE-GGA.

The structure belongs to space group I-42d (No. 122); the cell edges are 5.747, 5.747 and 11.801 Å and the angles 90.00°, 90.00° and 90.00°. The inequivalent atoms are Co at (0.000, 0.000, 0.000), Ge at (0.162, 0.250, 0.125) and Te at (0.000, 0.000, 0.500).

The total moment is 0.00 Bohr magnetons per cell. For the formation energy without anion corrections, the calculation gives 0.21 eV/atom.

=====

Entry 8:
This record from Alexandria describes a relaxed SmCuTeS crystal. The functional is PBE-GGA.

The structure belongs to space group R-3m (No. 166, hexagonal axes); the cell edges are 4.4890, 4.4890 and 34.0750 Å and the angles 90.00°, 90.00° and 120.00°. The inequivalent atoms are Sm at (0.0000, 0.0000, 0.1120), Cu at (0.0000, 0.0000, 0.3025), Te at (0.0000, 0.0000, 0.3827) and S at (0.0000, 0.0000, 0.1966).

The total moment is 0.00 Bohr magnetons per cell. For the formation energy without anion corrections, the calculation gives -1.13 eV/atom. The calculation puts the excess energy over the best structure of this formula in the dataset at 27 kJ/mol of formula units.

=====

Entry 9:
This record from Alexandria describes a relaxed La2NdBr6 crystal. The functional is PBE-GGA.

The structure belongs to space group P4_2/mnm (No. 136); the cell edges are 7.629, 7.629 and 11.454 Å and the angles 90.00°, 90.00° and 90.00°. The inequivalent atoms are La at (0.000, 0.000, 0.173), Nd at (0.000, 0.000, 0.500), Br at (0.219, 0.219, 0.000) and Br at (0.219, 0.219, 0.337).

The total moment is 2.06 Bohr magnetons per cell. For the formation energy without anion corrections, the calculation gives -1.66 eV/atom. The calculation puts the excess energy over the best structure of this formula in the dataset at 55 kJ/mol of formula units.

=====

Entry 10:
This record from Alexandria describes a relaxed Cs2KTe2 crystal. The functional is PBE-GGA.

The structure belongs to space group P4/mbm (No. 127); the cell edges are 10.751, 10.751 and 4.255 Å and the angles 90.00°, 90.00° and 90.00°. The inequivalent atoms are Cs at (0.123, 0.377, 0.000), K at (0.000, 0.000, 0.500) and Te at (0.176, 0.676, 0.500).

The total moment is 0.00 Bohr magnetons per cell. For the formation energy without anion corrections, the calculation gives -0.79 eV/atom. The calculation puts the excess energy over the best structure of this formula in the dataset at 42 kJ/mol of formula units.

=====

Entry 11:
This record from Alexandria describes a relaxed CaTb4Cd5 crystal. The functional is PBE-GGA.

The structure belongs to space group P4/mmm (No. 123); the cell edges are 3.767, 3.767 and 18.944 Å and the angles 90.00°, 90.00° and 90.00°. The inequivalent atoms are Ca at (0.000, 0.000, 0.000), Tb at (0.000, 0.000, 0.204), Tb at (0.000, 0.000, 0.401), Cd at (0.500, 0.500, 0.107), Cd at (0.500, 0.500, 0.302) and Cd at (0.500, 0.500, 0.500).

The total moment is 0.00 Bohr magnetons per cell. The formation enthalpy at 0 K is -3.31 eV/f.u.

=====

Entry 12:
This record from Alexandria describes a relaxed AlNi crystal. The functional is PBE-GGA.

The structure belongs to space group Pm-3m (No. 221); the cell edges are 2.892, 2.892 and 2.892 Å and the angles 90.00°, 90.00° and 90.00°. The inequivalent atoms are Al at (0.000, 0.000, 0.000) and Ni at (0.500, 0.500, 0.500).

The total moment is 0.00 Bohr magnetons per cell. The formation enthalpy at 0 K is -1.31 eV/f.u.